No. 1
Here is a geometry-optimized Tl2CdAg structure from Alexandria via LeMat-Bulk. Energies are from PBE.

Values from the calculation:
V	25.3	Å³ per atom
formation energy	0.44	eV/f.u.
energy	-2.016	eV per atom
Fermi-level density of states	1.135	states/eV/f.u.

CIF file:
```
data_Tl2CdAg
_cell_length_a 4.5452
_cell_length_b 4.5452
_cell_length_c 9.8099
_cell_angle_alpha 90.00
_cell_angle_beta 90.00
_cell_angle_gamma 90.00
_symmetry_space_group_name_H-M 'I -4 m 2'
_symmetry_Int_Tables_number 119
_symmetry_space_group_name_Hall 'I -4 -2'
loop_
_atom_site_label
_atom_site_type_symbol
_atom_site_fract_x
_atom_site_fract_y
_atom_site_fract_z
Tl1 Tl 0.0000 0.0000 0.0000
Tl2 Tl 0.0000 0.5000 0.2500
Cd1 Cd 0.0000 0.0000 0.5000
Ag1 Ag 0.0000 0.5000 0.7500
```

=====

No. 2
Here is a geometry-optimized Tl2CdAg structure from Alexandria via LeMat-Bulk. Energies are from PBE.

Values from the calculation:
V	25.6	Å³ per atom
formation energy	0.41	eV/f.u.
energy	-2.021	eV per atom
Fermi-level density of states	0.824	states/eV/f.u.

CIF file:
```
data_Tl2CdAg
_cell_length_a 5.9222
_cell_length_b 3.4394
_cell_length_c 10.2470
_cell_angle_alpha 90.00
_cell_angle_beta 101.55
_cell_angle_gamma 90.00
_symmetry_space_group_name_H-M 'C 1 m 1'
_symmetry_Int_Tables_number 8
loop_
_symmetry_equiv_pos_as_xyz
'x,y,z'
'x,-y,z'
'x+1/2,y+1/2,z'
'x+1/2,-y+1/2,z'
loop_
_atom_site_label
_atom_site_type_symbol
_atom_site_fract_x
_atom_site_fract_y
_atom_site_fract_z
Tl1 Tl 0.0000 0.0000 0.0000
Tl2 Tl 0.1707 0.0000 0.5271
Cd1 Cd 0.2518 0.5000 0.2635
Ag1 Ag 0.0864 0.5000 0.7638
```

=====

No. 3
Here is a geometry-optimized Tl2Cd2Ag structure from Alexandria via LeMat-Bulk. Energies are from PBE.

Values from the calculation:
V	28.1	Å³ per atom
formation energy	1.42	eV/f.u.
energy	-1.599	eV per atom
Fermi-level density of states	2.020	states/eV/f.u.

CIF file:
```
data_Tl2Cd2Ag
_cell_length_a 4.3534
_cell_length_b 4.3534
_cell_length_c 14.8146
_cell_angle_alpha 90.00
_cell_angle_beta 90.00
_cell_angle_gamma 90.00
_symmetry_space_group_name_H-M 'I 4/m m m'
_symmetry_Int_Tables_number 139
_symmetry_space_group_name_Hall '-I 4 2'
loop_
_atom_site_label
_atom_site_type_symbol
_atom_site_fract_x
_atom_site_fract_y
_atom_site_fract_z
Tl1 Tl 0.0000 0.5000 0.2500
Cd1 Cd 0.0000 0.0000 0.0914
Ag1 Ag 0.0000 0.0000 0.5000
```

=====

No. 4
Here is a geometry-optimized TlCd2Ag structure from Alexandria via LeMat-Bulk. Energies are from PBE.

Values from the calculation:
V	23.3	Å³ per atom
formation energy	0.19	eV/f.u.
energy	-1.714	eV per atom
Fermi-level density of states	1.324	states/eV/f.u.

CIF file:
```
data_TlCd2Ag
_cell_length_a 3.2548
_cell_length_b 3.2548
_cell_length_c 10.1773
_cell_angle_alpha 90.00
_cell_angle_beta 90.00
_cell_angle_gamma 120.00
_symmetry_space_group_name_H-M 'P -3 m 1'
_symmetry_Int_Tables_number 164
_symmetry_space_group_name_Hall '-P 3 2"'
loop_
_atom_site_label
_atom_site_type_symbol
_atom_site_fract_x
_atom_site_fract_y
_atom_site_fract_z
Tl1 Tl 0.0000 0.0000 0.0000
Cd1 Cd 0.3333 0.6667 0.7223
Ag1 Ag 0.0000 0.0000 0.5000
```

=====

No. 5
Here is a geometry-optimized TlCd4Ag structure from Alexandria via LeMat-Bulk. Energies are from PBE.

Values from the calculation:
V	23.7	Å³ per atom
formation energy	0.60	eV/f.u.
energy	-1.380	eV per atom
Fermi-level density of states	0.898	states/eV/f.u.

CIF file:
```
data_TlCd4Ag
_cell_length_a 8.2909
_cell_length_b 8.2909
_cell_length_c 8.2909
_cell_angle_alpha 90.00
_cell_angle_beta 90.00
_cell_angle_gamma 90.00
_symmetry_space_group_name_H-M 'F -4 3 m'
_symmetry_Int_Tables_number 216
_symmetry_space_group_name_Hall 'F -4 2 3'
loop_
_atom_site_label
_atom_site_type_symbol
_atom_site_fract_x
_atom_site_fract_y
_atom_site_fract_z
Tl1 Tl 0.0000 0.0000 0.0000
Cd1 Cd 0.1245 0.1245 0.3755
Ag1 Ag 0.2500 0.2500 0.7500
```

=====

No. 6
Here is a geometry-optimized TlCd2Ag structure from Alexandria via LeMat-Bulk. Energies are from PBE.

Values from the calculation:
V	23.5	Å³ per atom
formation energy	0.44	eV/f.u.
energy	-1.653	eV per atom
Fermi-level density of states	1.416	states/eV/f.u.

CIF file:
```
data_TlCd2Ag
_cell_length_a 7.2205
_cell_length_b 7.2205
_cell_length_c 7.2205
_cell_angle_alpha 90.00
_cell_angle_beta 90.00
_cell_angle_gamma 90.00
_symmetry_space_group_name_H-M 'F m -3 m'
_symmetry_Int_Tables_number 225
_symmetry_space_group_name_Hall '-F 4 2 3'
loop_
_atom_site_label
_atom_site_type_symbol
_atom_site_fract_x
_atom_site_fract_y
_atom_site_fract_z
Tl1 Tl 0.0000 0.0000 0.0000
Cd1 Cd 0.2500 0.2500 0.2500
Ag1 Ag 0.0000 0.0000 0.5000
```

=====

No. 7
Here is a geometry-optimized Tl2Cd2Ag structure from Alexandria via LeMat-Bulk. Energies are from PBE.

Values from the calculation:
V	26.7	Å³ per atom
formation energy	0.49	eV/f.u.
energy	-1.784	eV per atom
Fermi-level density of states	2.427	states/eV/f.u.

CIF file:
```
data_Tl2Cd2Ag
_cell_length_a 7.3896
_cell_length_b 7.3896
_cell_length_c 4.8986
_cell_angle_alpha 90.00
_cell_angle_beta 90.00
_cell_angle_gamma 90.00
_symmetry_space_group_name_H-M 'P 4/m b m'
_symmetry_Int_Tables_number 127
_symmetry_space_group_name_Hall '-P 4 2ab'
loop_
_atom_site_label
_atom_site_type_symbol
_atom_site_fract_x
_atom_site_fract_y
_atom_site_fract_z
Tl1 Tl 0.1714 0.3286 0.0000
Cd1 Cd 0.1431 0.6431 0.5000
Ag1 Ag 0.0000 0.0000 0.5000
```

=====

No. 8
Here is a geometry-optimized Tl2CdAg structure from Alexandria via LeMat-Bulk. Energies are from PBE.

Values from the calculation:
V	25.5	Å³ per atom
formation energy	0.22	eV/f.u.
energy	-2.070	eV per atom
Fermi-level density of states	2.399	states/eV/f.u.

CIF file:
```
data_Tl2CdAg
_cell_length_a 3.3418
_cell_length_b 3.3418
_cell_length_c 9.1198
_cell_angle_alpha 90.00
_cell_angle_beta 90.00
_cell_angle_gamma 90.00
_symmetry_space_group_name_H-M 'P 4 m m'
_symmetry_Int_Tables_number 99
loop_
_symmetry_equiv_pos_as_xyz
'x,y,z'
'-y,x,z'
'-x,-y,z'
'y,-x,z'
'-x,y,z'
'y,x,z'
'x,-y,z'
'-y,-x,z'
loop_
_atom_site_label
_atom_site_type_symbol
_atom_site_fract_x
_atom_site_fract_y
_atom_site_fract_z
Tl1 Tl 0.0000 0.0000 0.0000
Tl2 Tl 0.5000 0.5000 0.3088
Cd1 Cd 0.5000 0.5000 0.7323
Ag1 Ag 0.0000 0.0000 0.5434
```

=====

No. 9
Here is a geometry-optimized TlCd2Ag2 structure from Alexandria via LeMat-Bulk. Energies are from PBE.

Values from the calculation:
V	22.2	Å³ per atom
formation energy	0.05	eV/f.u.
energy	-1.970	eV per atom
Fermi-level density of states	1.313	states/eV/f.u.

CIF file:
```
data_TlCd2Ag2
_cell_length_a 8.4345
_cell_length_b 8.4345
_cell_length_c 3.1160
_cell_angle_alpha 90.00
_cell_angle_beta 90.00
_cell_angle_gamma 90.00
_symmetry_space_group_name_H-M 'P 4/m b m'
_symmetry_Int_Tables_number 127
_symmetry_space_group_name_Hall '-P 4 2ab'
loop_
_atom_site_label
_atom_site_type_symbol
_atom_site_fract_x
_atom_site_fract_y
_atom_site_fract_z
Tl1 Tl 0.0000 0.0000 0.0000
Cd1 Cd 0.1736 0.3264 0.5000
Ag1 Ag 0.1221 0.6221 0.0000
```

=====

No. 10
Here is a geometry-optimized TlCd2Ag structure from Alexandria via LeMat-Bulk. Energies are from PBE.

Values from the calculation:
V	23.2	Å³ per atom
formation energy	0.40	eV/f.u.
energy	-1.661	eV per atom
Fermi-level density of states	1.588	states/eV/f.u.

CIF file:
```
data_TlCd2Ag
_cell_length_a 5.2473
_cell_length_b 5.2473
_cell_length_c 3.3726
_cell_angle_alpha 90.00
_cell_angle_beta 90.00
_cell_angle_gamma 90.00
_symmetry_space_group_name_H-M 'P 4/m m m'
_symmetry_Int_Tables_number 123
_symmetry_space_group_name_Hall '-P 4 2'
loop_
_atom_site_label
_atom_site_type_symbol
_atom_site_fract_x
_atom_site_fract_y
_atom_site_fract_z
Tl1 Tl 0.0000 0.0000 0.0000
Cd1 Cd 0.0000 0.5000 0.5000
Ag1 Ag 0.5000 0.5000 0.0000
```

=====

No. 11
Here is a geometry-optimized TlCd2Ag structure from Alexandria via LeMat-Bulk. Energies are from PBE.

Values from the calculation:
V	23.1	Å³ per atom
formation energy	0.35	eV/f.u.
energy	-1.675	eV per atom
Fermi-level density of states	2.130	states/eV/f.u.

CIF file:
```
data_TlCd2Ag
_cell_length_a 4.4658
_cell_length_b 4.4658
_cell_length_c 4.6268
_cell_angle_alpha 90.00
_cell_angle_beta 90.00
_cell_angle_gamma 90.00
_symmetry_space_group_name_H-M 'P 4/m m m'
_symmetry_Int_Tables_number 123
_symmetry_space_group_name_Hall '-P 4 2'
loop_
_atom_site_label
_atom_site_type_symbol
_atom_site_fract_x
_atom_site_fract_y
_atom_site_fract_z
Tl1 Tl 0.0000 0.0000 0.0000
Cd1 Cd 0.0000 0.5000 0.5000
Ag1 Ag 0.5000 0.5000 0.0000
```

=====

No. 12
Here is a geometry-optimized Tl2Cd12Ag structure from Alexandria via LeMat-Bulk. Energies are from PBE.

Values from the calculation:
V	25.2	Å³ per atom
formation energy	0.73	eV/f.u.
energy	-1.189	eV per atom
Fermi-level density of states	5.386	states/eV/f.u.

CIF file:
```
data_Tl2Cd12Ag
_cell_length_a 6.0241
_cell_length_b 6.0241
_cell_length_c 20.8529
_cell_angle_alpha 90.00
_cell_angle_beta 90.00
_cell_angle_gamma 90.00
_symmetry_space_group_name_H-M 'P 4/n b m'
_symmetry_Int_Tables_number 125
loop_
_symmetry_equiv_pos_as_xyz
'x,y,z'
'-x,-y,-z'
'-y+1/2,x,z'
'y+1/2,-x,-z'
'-x+1/2,-y+1/2,z'
'x+1/2,y+1/2,-z'
'y,-x+1/2,z'
'-y,x+1/2,-z'
'x,-y+1/2,-z'
'-x,y+1/2,z'
'-y+1/2,-x+1/2,-z'
'y+1/2,x+1/2,z'
'-x+1/2,y,-z'
'x+1/2,-y,z'
'y,x,-z'
'-y,-x,z'
loop_
_atom_site_label
_atom_site_type_symbol
_atom_site_fract_x
_atom_site_fract_y
_atom_site_fract_z
Tl1 Tl 0.2500 0.7500 0.2364
Cd1 Cd 0.0014 0.5014 0.4063
Cd2 Cd 0.0748 0.5748 0.9351
Cd3 Cd 0.2500 0.2500 0.1639
Cd4 Cd 0.2500 0.2500 0.3016
Ag1 Ag 0.2500 0.7500 0.5000
```